(1)
Computed, not measured: a geometry-optimized Al2HgPb structure at the PBE level of DFT.

abc: 5.3171 5.3171 5.3171
angles: 127.18 127.18 77.95
Atoms (fractional coordinates):
Pb 0.7500 0.2500 0.5000
Hg 0.2500 0.7500 0.5000
Al 0.0000 0.0000 0.0000
Al 0.5000 0.5000 0.0000

- DOS(E_F) (states/eV/atom) = 0.2672
- energy relative to the lowest polymorph listed for this composition (eV per formula unit) = 0.431
- calculated formation energy (eV per atom) = 0.25
- uncorrected energy (eV per atom) = -2.620
- space-group type = I4/mmm (139)


(2)
Computed, not measured: a geometry-optimized Dy8Bi2Pt structure at the PBE level of DFT.

abc: 4.7377 7.2956 9.7727
angles: 95.78 104.03 90.00
Atoms (fractional coordinates):
Dy 0.4049 0.4780 0.8099
Dy 0.6431 0.0506 0.2862
Dy 0.7861 0.6453 0.5722
Dy 0.0040 0.2307 0.0080
Dy 0.2139 0.3547 0.4278
Dy 0.3569 0.9494 0.7138
Dy 0.5951 0.5220 0.1901
Dy 0.9960 0.7693 0.9920
Bi 0.8183 0.2132 0.6366
Bi 0.1817 0.7868 0.3634
Pt 0.5000 0.0000 0.0000

- DOS(E_F) (states/eV/atom) = 1.0516
- calculated formation energy (eV per atom) = -0.49
- uncorrected energy (eV per atom) = -5.090
- space-group type = C2/m (12)


(3)
Computed, not measured: a geometry-optimized Ba5Tl4Au structure at the PBE level of DFT.

abc: 4.2529 4.2529 21.1316
angles: 90.00 90.00 90.00
Atoms (fractional coordinates):
Ba 0.5000 0.5000 0.0918
Ba 0.5000 0.5000 0.2958
Ba 0.5000 0.5000 0.5000
Ba 0.5000 0.5000 0.7042
Ba 0.5000 0.5000 0.9082
Tl 0.0000 0.0000 0.1965
Tl 0.0000 0.0000 0.3952
Tl 0.0000 0.0000 0.6048
Tl 0.0000 0.0000 0.8035
Au 0.0000 0.0000 0.0000

- DOS(E_F) (states/eV/atom) = 0.7480
- calculated formation energy (eV per atom) = -0.46
- uncorrected energy (eV per atom) = -2.692
- space-group type = P4/mmm (123)